Version 1
Compound: CrInTe3
Source: Alexandria
Functional: GGA-PBE
Structure: optimized geometry

symmetry	P2_1/m (11)
crystal system	monoclinic

Lattice parameters (Å, degrees): 7.496 4.127 9.774 90.00 90.65 90.00
Sites, in units of the cell vectors:
Cr  0.081  0.250  0.339
Cr  0.919  0.750  0.661
In  0.404  0.250  0.733
In  0.596  0.750  0.267
Te  0.044  0.250  0.821
Te  0.216  0.750  0.502
Te  0.368  0.250  0.165
Te  0.632  0.750  0.835
Te  0.784  0.250  0.498
Te  0.956  0.750  0.179


Version 2
Compound: CrInTe3
Source: Alexandria
Functional: GGA-PBE
Structure: optimized geometry

symmetry	Pm-3m (221)
crystal system	cubic

Lattice parameters (Å, degrees): 5.295 5.295 5.295 90.00 90.00 90.00
Sites, in units of the cell vectors:
Cr  0.000  0.000  0.000
In  0.500  0.500  0.500
Te  0.000  0.000  0.500
Te  0.000  0.500  0.000
Te  0.500  0.000  0.000


Stability, descending: version 1, version 2


Version 1
Compound: TiCrIn3
Source: Alexandria
Functional: GGA-PBE
Structure: optimized geometry

symmetry	Pm-3m (221)
crystal system	cubic

Lattice parameters (Å, degrees): 5.234 5.234 5.234 90.00 90.00 90.00
Sites, in units of the cell vectors:
Ti  0.000  0.000  0.000
Cr  0.500  0.500  0.500
In  0.000  0.000  0.500
In  0.000  0.500  0.000
In  0.500  0.000  0.000


Version 2
Compound: TiCrIn3
Source: Alexandria
Functional: GGA-PBE
Structure: optimized geometry

symmetry	Pm-3m (221)
crystal system	cubic

Lattice parameters (Å, degrees): 5.014 5.014 5.014 90.00 90.00 90.00
Sites, in units of the cell vectors:
Ti  0.000  0.000  0.000
Cr  0.500  0.500  0.500
In  0.000  0.500  0.500
In  0.500  0.000  0.500
In  0.500  0.500  0.000


Stability, descending: version 2, version 1


Version 1
Compound: TiCrIn2
Source: Alexandria
Functional: GGA-PBE
Structure: optimized geometry

symmetry	Fm-3m (225)
crystal system	cubic

Lattice parameters (Å, degrees): 4.736 4.736 4.736 60.00 60.00 60.00
Sites, in units of the cell vectors:
Ti  0.000  0.000  0.000
Cr  0.500  0.500  0.500
In  0.250  0.250  0.250
In  0.750  0.750  0.750


Version 2
Compound: TiCrIn2
Source: Alexandria
Functional: GGA-PBE
Structure: optimized geometry

symmetry	P4/mmm (123)
crystal system	tetragonal

Lattice parameters (Å, degrees): 4.281 4.281 4.139 90.00 90.00 90.00
Sites, in units of the cell vectors:
Ti  0.000  0.000  0.000
Cr  0.500  0.500  0.000
In  0.000  0.500  0.500
In  0.500  0.000  0.500


Version 3
Compound: TiCrIn2
Source: Alexandria
Functional: GGA-PBE
Structure: optimized geometry

symmetry	I-42d (122)
crystal system	tetragonal

Lattice parameters (Å, degrees): 5.979 5.979 5.979 102.97 102.97 123.45
Sites, in units of the cell vectors:
Ti  0.000  0.000  0.000
Ti  0.750  0.250  0.500
Cr  0.250  0.750  0.500
Cr  0.500  0.500  0.000
In  0.142  0.125  0.517
In  0.375  0.858  0.983
In  0.608  0.625  0.483
In  0.875  0.392  0.017


Stability, descending: version 2, version 1, version 3